Computed, not measured: crystalline Be2ReIr at its relaxed geometry at the PBE level of DFT.

Cell lengths 2.6437, 2.6437, 7.5012 Å; angles 90.00, 90.00, 112.73 degrees
Positions (direct):
Be 0.0000 0.0000 0.2426
Be 0.0000 0.0000 0.7574
Re 0.5000 0.5000 0.5000
Ir 0.5000 0.5000 0.0000

Values from the calculation:
formation energy from the elements	-4.61	kJ per mole of atoms
raw total energy	-28.95	eV/cell
ΔE to the lowest computed polymorph	275	meV per atom

Computed, not measured: crystalline EuYHgPb at its relaxed geometry at the PBE level of DFT.

Cell lengths 5.4603, 5.4603, 5.4603 Å; angles 60.00, 60.00, 60.00 degrees
Positions (direct):
Eu 0.0000 0.0000 0.0000
Y 0.5000 0.5000 0.5000
Hg 0.2500 0.2500 0.2500
Pb 0.7500 0.7500 0.7500

Values from the calculation:
formation energy from the elements	-48.96	kJ per mole of atoms
raw total energy	-22.78	eV/cell

Computed, not measured: crystalline CaTaRu2 at its relaxed geometry at the PBE level of DFT.

Cell lengths 4.5736, 4.5736, 4.5736 Å; angles 60.00, 60.00, 60.00 degrees
Positions (direct):
Ca 0.0000 0.0000 0.0000
Ta 0.2500 0.2500 0.2500
Ru 0.5000 0.5000 0.5000
Ru 0.7500 0.7500 0.7500

Values from the calculation:
formation energy from the elements	49.94	kJ per mole of atoms
raw total energy	-30.34	eV/cell

Computed, not measured: crystalline Th2Tl3GaTe6 at its relaxed geometry at the PBE level of DFT.

Cell lengths 10.6673, 10.6673, 9.7180 Å; angles 106.33, 106.33, 24.83 degrees
Positions (direct):
Th 0.1624 0.1624 0.3270
Th 0.8376 0.8376 0.6730
Tl 0.1579 0.1579 0.8348
Tl 0.5000 0.5000 0.5000
Tl 0.8421 0.8421 0.1652
Ga 0.5000 0.5000 0.0000
Te 0.0129 0.0129 0.2412
Te 0.3254 0.3254 0.4368
Te 0.3353 0.3353 0.8919
Te 0.6647 0.6647 0.1081
Te 0.6746 0.6746 0.5632
Te 0.9871 0.9871 0.7588

Values from the calculation:
raw total energy	-52.71	eV/cell

Computed, not measured: crystalline CaTiBi2Pt at its relaxed geometry at the PBE level of DFT.

Cell lengths 5.4865, 5.4865, 5.2091 Å; angles 90.00, 90.00, 90.00 degrees
Positions (direct):
Ca 0.0000 0.0000 0.0000
Ti 0.5000 0.5000 0.0000
Bi 0.0000 0.5000 0.5000
Bi 0.5000 0.0000 0.5000
Pt 0.0000 0.0000 0.5000

Values from the calculation:
formation energy from the elements	26.41	kJ per mole of atoms
raw total energy	-22.33	eV/cell

Computed, not measured: crystalline NdHoCl6 at its relaxed geometry at the PBE level of DFT.

Cell lengths 7.1482, 7.1482, 6.7422 Å; angles 97.34, 97.34, 123.65 degrees
Positions (direct):
Nd 0.0000 0.0000 0.0000
Ho 0.5000 0.5000 0.5000
Cl 0.1191 0.4021 0.2586
Cl 0.2530 0.2530 0.7431
Cl 0.4021 0.1191 0.2586
Cl 0.5979 0.8809 0.7414
Cl 0.7470 0.7470 0.2569
Cl 0.8809 0.5979 0.7414

Values from the calculation:
raw total energy	-38.39	eV/cell

Calculated total magnetization in order - 0.000, 7.651, 0.002, 0.000, 2.449, 0.000 μB per formula unit